Entry 1:
Entry from the Alexandria database: a geometry-optimized La3TlRu structure (PBE-GGA).

Lattice parameters (Å, degrees): 6.5856 6.5856 6.5856 87.52 87.52 87.52
Atoms (fractional coordinates):
La1 0.0478 0.7500 0.4522
La2 0.2500 0.5478 0.9522
La3 0.4522 0.0478 0.7500
La4 0.5478 0.9522 0.2500
La5 0.7500 0.4522 0.0478
La6 0.9522 0.2500 0.5478
Tl1 0.0000 0.0000 0.0000
Tl2 0.5000 0.5000 0.5000
Ru1 0.2500 0.2500 0.2500
Ru2 0.7500 0.7500 0.7500

Output
- raw total energy (eV/cell) = -54.2
- D(E_F) (states/eV/cell) = 16.87
- ΔH_f (0 K) (eV per atom) = -0.1349



Entry 2:
Entry from the Alexandria database: a geometry-optimized AlGe2Ru structure (PBE-GGA).

Lattice parameters (Å, degrees): 9.0542 9.0542 9.0542 19.10 19.10 19.10
Atoms (fractional coordinates):
Al1 0.0000 0.0000 0.0000
Ge1 0.0973 0.0973 0.0973
Ge2 0.9027 0.9027 0.9027
Ru1 0.5000 0.5000 0.5000

Output
- raw total energy (eV/cell) = -22.4
- D(E_F) (states/eV/cell) = 2.40
- ΔH_f (0 K) (eV per atom) = -0.0366



Entry 3:
Entry from the Alexandria database: a geometry-optimized NiMoPd structure (PBE-GGA).

Lattice parameters (Å, degrees): 4.6881 4.3555 8.2022 90.00 90.00 90.00
Atoms (fractional coordinates):
Ni1 0.1792 0.2500 0.1667
Ni2 0.3208 0.7500 0.6667
Ni3 0.6792 0.2500 0.3333
Ni4 0.8208 0.7500 0.8333
Mo1 0.1610 0.2500 0.8296
Mo2 0.3390 0.7500 0.3296
Mo3 0.6610 0.2500 0.6704
Mo4 0.8390 0.7500 0.1704
Pd1 0.1772 0.2500 0.4923
Pd2 0.3228 0.7500 0.9923
Pd3 0.6772 0.2500 0.0077
Pd4 0.8228 0.7500 0.5077

Output
- raw total energy (eV/cell) = -87.1
- D(E_F) (states/eV/cell) = 12.97
- ΔH_f (0 K) (eV per atom) = 0.0118